A geometry-optimized Na2AcAg9 structure, computed with PBE.

Structure (POSCAR):
```
Na2AcAg9
1.0
2.8457 1.6430 9.4347
-2.8457 1.6430 9.4347
0.0000 -3.2860 9.4347
Na Ac Ag
2 1 9
direct
0.1465 0.1465 0.1465
0.8535 0.8535 0.8535
0.0000 0.0000 0.0000
0.0834 0.5842 0.5842
0.3325 0.3325 0.3325
0.4158 0.4158 0.9166
0.4158 0.9166 0.4158
0.5000 0.5000 0.5000
0.5842 0.0834 0.5842
0.5842 0.5842 0.0834
0.6675 0.6675 0.6675
0.9166 0.4158 0.4158
```

Calculated values
The space group is No. 166. The formation energy from the elements is -0.124 eV/atom. The density is 7.80 g cm⁻³.